! ZrSnOs2 PBE-GGA relaxed; values from VASP
! Calculated volume: 70.4 Å³ per cell
! E: -8.40 eV/atom
! Size of the total moment: 0.73 μB/cell
&SYSTEM
  ibrav = 0, nat = 4, ntyp = 3
/
ATOMIC_SPECIES
Zr 91.22 Zr.upf
Sn 118.71 Sn.upf
Os 190.23 Os.upf
ATOMIC_POSITIONS angstrom
Zr 0.0000 0.0000 0.0000
Sn 4.9168 4.9168 4.9168
Os 1.6389 1.6389 1.6389
Os 3.2778 3.2778 3.2778
CELL_PARAMETERS angstrom
0.0000 3.2778 3.2778
3.2778 0.0000 3.2778
3.2778 3.2778 0.0000